Run 1
Material: TmLuTh2
Method: DFT, PBE
State: optimized geometry

```
4
Lattice="-0.184 3.199 -1.517 -2.873 0.753 1.937 5.779 3.713 7.130" Properties=species:S:1:pos:R:3 pbc="T T T"
Th 4.340 2.788 5.354
Th 1.439 0.924 1.775
Tm 1.361 3.832 3.775
Lu -1.528 1.976 0.210
```

Results
**DOS(E_F)**: 1.29 states/eV per atom
**Space group**: P4/mmm

Run 2
Material: TmLuTh2
Method: DFT, PBE
State: optimized geometry

```
4
Lattice="5.598 0.000 0.000 2.799 4.848 0.000 2.799 1.616 4.571" Properties=species:S:1:pos:R:3 pbc="T T T"
Lu 5.598 3.232 2.286
Th 2.799 1.616 1.143
Th 8.398 4.848 3.428
Tm 0.000 0.000 0.000
```

Results
**DOS(E_F)**: 1.10 states/eV per atom
**Space group**: Fm-3m

Which of them is most stable, and which least? Most stable: run 1; least stable: run 2.

Run 1
Material: YLuTh
Method: DFT, PBE
State: optimized geometry

```
3
Lattice="-1.136 -2.995 1.553 3.058 1.496 1.042 -4.252 4.634 5.827" Properties=species:S:1:pos:R:3 pbc="T T T"
Y -1.187 3.101 5.113
Lu -1.130 0.019 3.291
Th -0.013 0.014 0.018
```

Results
**DOS(E_F)**: 1.40 states/eV per atom
**Space group**: P3m1

Run 2
Material: YLuTh
Method: DFT, PBE
State: optimized geometry

```
3
Lattice="-3.511 -0.571 0.043 0.386 -2.557 -2.443 2.450 -3.486 6.626" Properties=species:S:1:pos:R:3 pbc="T T T"
Y -0.681 -6.580 4.190
Lu -1.258 -3.300 0.665
Th 0.588 -3.348 3.597
```

Results
**DOS(E_F)**: 1.54 states/eV per atom
**Space group**: I4mm

Which of them is most stable, and which least? Most stable: run 1; least stable: run 2.

Run 1
Material: LuThZr2
Method: DFT, PBE
State: optimized geometry

```
4
Lattice="5.305 0.000 0.000 2.653 4.594 0.000 2.653 1.531 4.332" Properties=species:S:1:pos:R:3 pbc="T T T"
Zr 7.958 4.594 3.249
Zr 2.653 1.531 1.083
Th 0.000 0.000 0.000
Lu 5.305 3.063 2.166
```

Results
**DOS(E_F)**: 2.08 states/eV per atom
**Space group**: Fm-3m

Run 2
Material: LuThZr2
Method: DFT, PBE
State: optimized geometry

```
4
Lattice="3.348 0.000 0.000 1.674 2.899 0.000 1.674 0.966 11.449" Properties=species:S:1:pos:R:3 pbc="T T T"
Lu 0.000 0.000 0.000
Th 3.348 1.933 5.725
Zr 1.674 0.966 8.394
Zr 5.022 2.899 3.055
```

Results
**DOS(E_F)**: 1.70 states/eV per atom
**Space group**: R-3m

Which of them is most stable, and which least? Most stable: run 1; least stable: run 2.